Record 1
Density functional theory data (PBE) for a relaxed structure of Er3AlP2Rh9.

```
data_Er3AlP2Rh9
_cell_length_a 6.1883
_cell_length_b 6.1883
_cell_length_c 7.9835
_cell_angle_alpha 90.00
_cell_angle_beta 90.00
_cell_angle_gamma 120.00
_symmetry_space_group_name_H-M 'P 1'
_symmetry_Int_Tables_number 1
loop_
_symmetry_equiv_pos_as_xyz
'x,y,z'
loop_
_atom_site_label
_atom_site_fract_x
_atom_site_fract_y
_atom_site_fract_z
Er1 0.3333 0.6667 0.6529
Er2 0.0000 0.0000 0.0000
Er3 0.6667 0.3333 0.3471
Al1 0.0000 0.0000 0.5000
P1 0.3333 0.6667 0.1635
P2 0.6667 0.3333 0.8365
Rh1 0.8330 0.1670 0.6812
Rh2 0.8330 0.6660 0.6812
Rh3 0.3340 0.1670 0.6812
Rh4 0.6660 0.8330 0.3188
Rh5 0.1670 0.3340 0.3188
Rh6 0.1670 0.8330 0.3188
Rh7 0.5000 0.0000 0.0000
Rh8 0.0000 0.5000 0.0000
Rh9 0.5000 0.5000 0.0000
```

Values from the calculation:
Calculated formation energy   -0.65 eV/atom
Spin magnetization   0.000 μB/atom
Energy   -6.945 eV per atom

---

Record 2
Density functional theory data (PBE) for a relaxed structure of LiHo12Ni6.

```
data_LiHo12Ni6
_cell_length_a 8.3936
_cell_length_b 8.3936
_cell_length_c 8.3936
_cell_angle_alpha 109.47
_cell_angle_beta 109.47
_cell_angle_gamma 109.47
_symmetry_space_group_name_H-M 'P 1'
_symmetry_Int_Tables_number 1
loop_
_symmetry_equiv_pos_as_xyz
'x,y,z'
loop_
_atom_site_label
_atom_site_fract_x
_atom_site_fract_y
_atom_site_fract_z
Li1 0.0000 0.0000 0.0000
Ho1 0.3064 0.1192 0.8128
Ho2 0.3064 0.4936 0.1872
Ho3 0.6936 0.5064 0.8128
Ho4 0.6936 0.8808 0.1872
Ho5 0.1192 0.8128 0.3064
Ho6 0.4936 0.1872 0.3064
Ho7 0.5064 0.8128 0.6936
Ho8 0.8808 0.1872 0.6936
Ho9 0.8128 0.3064 0.1192
Ho10 0.1872 0.3064 0.4936
Ho11 0.8128 0.6936 0.5064
Ho12 0.1872 0.6936 0.8808
Ni1 0.3761 0.5000 0.8761
Ni2 0.6239 0.5000 0.1239
Ni3 0.5000 0.8761 0.3761
Ni4 0.5000 0.1239 0.6239
Ni5 0.8761 0.3761 0.5000
Ni6 0.1239 0.6239 0.5000
```

Values from the calculation:
Calculated formation energy   -0.28 eV/atom
Spin magnetization   0.000 μB/atom
ΔE to the lowest computed polymorph   0.0 meV/atom
Energy   -5.097 eV per atom

---

Record 3
Density functional theory data (PBE) for a relaxed structure of PaCdIrAu.

```
data_PaCdIrAu
_cell_length_a 4.8703
_cell_length_b 4.8703
_cell_length_c 4.8703
_cell_angle_alpha 60.00
_cell_angle_beta 60.00
_cell_angle_gamma 60.00
_symmetry_space_group_name_H-M 'P 1'
_symmetry_Int_Tables_number 1
loop_
_symmetry_equiv_pos_as_xyz
'x,y,z'
loop_
_atom_site_label
_atom_site_fract_x
_atom_site_fract_y
_atom_site_fract_z
Cd1 0.7500 0.7500 0.7500
Pa1 0.2500 0.2500 0.2500
Au1 0.0000 0.0000 0.0000
Ir1 0.5000 0.5000 0.5000
```

Values from the calculation:
Calculated formation energy   -0.35 eV/atom
Spin magnetization   0.000 μB/atom
Energy   -5.990 eV per atom